Entry 1:
HfCoOs2: relaxed, PBE. Values from VASP.

Quantum ESPRESSO input file:
```
&SYSTEM
  ibrav = 0, nat = 4, ntyp = 3
/
ATOMIC_SPECIES
Co 58.93 Co.upf
Os 190.23 Os.upf
Hf 178.49 Hf.upf
CELL_PARAMETERS angstrom
0.0000 3.1168 3.1168
3.1168 0.0000 3.1168
3.1168 3.1168 0.0000
ATOMIC_POSITIONS angstrom
Co 1.5584 1.5584 1.5584
Os 4.6752 4.6752 4.6752
Os 0.0000 0.0000 0.0000
Hf 3.1168 3.1168 3.1168
```

The total moment comes out at 1.894 μB/cell. The formation energy comes out at 0.40 eV/f.u. As for the space group: F-43m (216). The total DFT energy (no corrections) is -39.116 eV/cell.

=====

Entry 2:
HfCoOsPb: relaxed, PBE. Values from VASP.

Quantum ESPRESSO input file:
```
&SYSTEM
  ibrav = 0, nat = 4, ntyp = 4
/
ATOMIC_SPECIES
Hf 178.49 Hf.upf
Os 190.23 Os.upf
Pb 207.20 Pb.upf
Co 58.93 Co.upf
CELL_PARAMETERS angstrom
2.7405 -1.9315 3.1282
-1.1253 0.1553 4.4425
-1.3258 -3.8190 2.1642
ATOMIC_POSITIONS angstrom
Hf 0.1447 -2.7976 4.8675
Os 0.0723 -1.3988 2.4337
Pb 0.0000 0.0000 0.0000
Co 0.2170 -4.1964 7.3012
```

The total moment comes out at 1.025 μB/cell. The polymorph energy (0 for the lowest one) is 0.00 kcal/mol of atoms. As for the space group: F-43m (216). The total DFT energy (no corrections) is -31.691 eV/cell.

=====

Entry 3:
HfCoOsPb: relaxed, PBE. Values from VASP.

Quantum ESPRESSO input file:
```
&SYSTEM
  ibrav = 0, nat = 4, ntyp = 4
/
ATOMIC_SPECIES
Co 58.93 Co.upf
Hf 178.49 Hf.upf
Os 190.23 Os.upf
Pb 207.20 Pb.upf
CELL_PARAMETERS angstrom
0.0000 3.2803 3.2803
3.2803 0.0000 3.2803
3.2803 3.2803 0.0000
ATOMIC_POSITIONS angstrom
Co 4.9205 4.9205 4.9205
Hf 1.6402 1.6402 1.6402
Os 3.2803 3.2803 3.2803
Pb 0.0000 0.0000 0.0000
```

The total moment comes out at 2.260 μB/cell. The polymorph energy (0 for the lowest one) is 9.45 kcal/mol of atoms. As for the space group: F-43m (216). The total DFT energy (no corrections) is -30.051 eV/cell.

=====

Entry 4:
HfCoSiOs: relaxed, PBE. Values from VASP.

Quantum ESPRESSO input file:
```
&SYSTEM
  ibrav = 0, nat = 4, ntyp = 4
/
ATOMIC_SPECIES
Hf 178.49 Hf.upf
Co 58.93 Co.upf
Si 28.09 Si.upf
Os 190.23 Os.upf
CELL_PARAMETERS angstrom
0.0000 3.1065 3.1065
3.1065 0.0000 3.1065
3.1065 3.1065 0.0000
ATOMIC_POSITIONS angstrom
Hf 1.5532 1.5532 1.5532
Co 4.6597 4.6597 4.6597
Si 0.0000 0.0000 0.0000
Os 3.1065 3.1065 3.1065
```

The total moment comes out at 2.421 μB/cell. The polymorph energy (0 for the lowest one) is 12.16 kcal/mol of atoms. As for the space group: F-43m (216). The total DFT energy (no corrections) is -33.441 eV/cell.

=====

Entry 5:
HfCoSiOs: relaxed, PBE. Values from VASP.

Quantum ESPRESSO input file:
```
&SYSTEM
  ibrav = 0, nat = 4, ntyp = 4
/
ATOMIC_SPECIES
Hf 178.49 Hf.upf
Os 190.23 Os.upf
Si 28.09 Si.upf
Co 58.93 Co.upf
CELL_PARAMETERS angstrom
0.0000 3.0559 3.0559
3.0559 0.0000 3.0559
3.0559 3.0559 0.0000
ATOMIC_POSITIONS angstrom
Hf 3.0559 3.0559 3.0559
Os 1.5280 1.5280 1.5280
Si 0.0000 0.0000 0.0000
Co 4.5839 4.5839 4.5839
```

The total moment comes out at 1.002 μB/cell. The polymorph energy (0 for the lowest one) is 0.00 kcal/mol of atoms. As for the space group: F-43m (216). The total DFT energy (no corrections) is -35.550 eV/cell.

=====

Entry 6:
Hf2CoP: relaxed, PBE. Values from VASP.

Quantum ESPRESSO input file:
```
&SYSTEM
  ibrav = 0, nat = 8, ntyp = 3
/
ATOMIC_SPECIES
Hf 178.49 Hf.upf
P 30.97 P.upf
Co 58.93 Co.upf
CELL_PARAMETERS angstrom
5.1795 0.0000 0.0000
0.0000 3.5930 0.0000
-2.4810 0.0000 6.9389
ATOMIC_POSITIONS angstrom
Hf 2.6201 1.7965 2.9121
Hf 3.8418 0.0000 0.4549
Hf -1.1433 1.7965 6.4838
Hf 0.0781 0.0000 4.0279
P 2.6934 0.0000 4.9315
P 0.0046 1.7965 2.0091
Co 1.3377 0.0000 1.4503
Co 1.3616 1.7965 5.4859
```

The total moment comes out at 0.007 μB/cell. As for the space group: P2_1/m (11). The total DFT energy (no corrections) is -72.283 eV/cell.